Record 1
This record from Alexandria describes crystalline LiCa2Sb3Rh4 at its relaxed geometry. The functional is PBE.

POSCAR file:
```
LiCa2Sb3Rh4
1.0
-3.2350 -1.4854 -2.3214
1.7085 -3.8897 0.1080
-5.7607 -2.2672 9.4787
Sb Ca Li Rh
3 2 1 4
Cartesian
0.0747 -2.2516 1.3366
-2.8803 -1.1336 4.7393
-6.5986 -2.7031 7.0354
-3.3995 -3.6190 7.0532
-3.1244 -1.3358 1.3188
-3.6436 -3.8211 3.6327
-0.7632 -2.6875 -1.1067
-5.2899 -2.1880 4.8820
-1.2340 -2.7667 3.4900
0.0000 0.0000 0.0000
```

Properties
**M_tot**: 0.000 Bohr magnetons per cell
**Energy**: -5.4515 eV per atom
**Energy relative to the elements, uncorrected**: -0.683 eV/atom

=====

Record 2
This record from Alexandria describes crystalline CrFeCu at its relaxed geometry. The functional is PBE.

POSCAR file:
```
CrFeCu
1.0
6.4102 -0.0165 0.0129
5.8206 2.3591 0.0330
0.5896 -0.5657 2.3074
Cu Cr Fe
1 1 1
Cartesian
4.4618 0.4017 1.5551
0.6322 -0.5550 2.2991
8.3160 1.3646 0.8064
```

Properties
**M_tot**: 2.173 Bohr magnetons per cell
**Energy**: -7.1942 eV per atom
**Distance to the lowest polymorph of the same formula**: 0.000 eV per atom

=====

> Which of these has the lowest M_tot?

LiCa2Sb3Rh4

=====

Repeat the first record exactly.
This record from Alexandria describes crystalline LiCa2Sb3Rh4 at its relaxed geometry. The functional is PBE.

POSCAR file:
```
LiCa2Sb3Rh4
1.0
-3.2350 -1.4854 -2.3214
1.7085 -3.8897 0.1080
-5.7607 -2.2672 9.4787
Sb Ca Li Rh
3 2 1 4
Cartesian
0.0747 -2.2516 1.3366
-2.8803 -1.1336 4.7393
-6.5986 -2.7031 7.0354
-3.3995 -3.6190 7.0532
-3.1244 -1.3358 1.3188
-3.6436 -3.8211 3.6327
-0.7632 -2.6875 -1.1067
-5.2899 -2.1880 4.8820
-1.2340 -2.7667 3.4900
0.0000 0.0000 0.0000
```

Properties
**M_tot**: 0.000 Bohr magnetons per cell
**Energy**: -5.4515 eV per atom
**Energy relative to the elements, uncorrected**: -0.683 eV/atom

=====

> Among the records above, which one has the lowest energy?

CrFeCu

=====

> Which value of energy does entry 2 give?

-7.1942 eV per atom